{"formula": "TiCoPdAu", "functional": "PBE", "state": "relaxed", "formation_energy_mev_per_atom": -235, "dos_at_fermi_per_ev_atom": 0.450, "sg": "No. 216", "lattice_angstrom": [[-0.9453, -2.0055, 3.7742], [-3.5895, -2.4848, 0.3190], [0.3706, -4.3498, 0.3198]], "species": ["Au", "Ti", "Co", "Pd"], "frac_coords": [[0.7500, 0.7500, 0.7500], [0.2500, 0.2500, 0.2500], [0.0000, 0.0000, 0.0000], [0.5000, 0.5000, 0.5000]]}